(1)
The following is a PBE calculation of a relaxed structure of Ba5NaSr2Li2, from Alexandria.

```
data_Ba5NaSr2Li2
_symmetry_space_group_name_H-M 'P 4/m b m'
_symmetry_Int_Tables_number 127
_symmetry_space_group_name_Hall '-P 4 2ab'
_cell_length_a 14.559
_cell_length_b 14.559
_cell_length_c 4.945
_cell_angle_alpha 90.00
_cell_angle_beta 90.00
_cell_angle_gamma 90.00
loop_
_atom_site_label
_atom_site_fract_x
_atom_site_fract_y
_atom_site_fract_z
Ba1 0.000 0.500 0.000
Ba2 0.067 0.205 0.000
Na1 0.000 0.000 0.500
Sr1 0.175 0.675 0.500
Li1 0.125 0.375 0.500
```

Properties
Formation enthalpy at 0 K (meV/atom): 47

***

(2)
The following is a PBE calculation of a relaxed structure of LaPr2Pb3, from Alexandria.

```
data_LaPr2Pb3
_symmetry_space_group_name_H-M 'I m m a'
_symmetry_Int_Tables_number 74
_symmetry_space_group_name_Hall '-I 2b 2'
_cell_length_a 5.153
_cell_length_b 9.299
_cell_length_c 15.532
_cell_angle_alpha 90.00
_cell_angle_beta 90.00
_cell_angle_gamma 90.00
loop_
_atom_site_label
_atom_site_fract_x
_atom_site_fract_y
_atom_site_fract_z
La1 0.000 0.250 0.167
Pr1 0.000 0.250 0.501
Pr2 0.000 0.250 0.833
Pb1 0.000 0.000 0.000
Pb2 0.000 0.002 0.666
```

Properties
Formation enthalpy at 0 K (meV/atom): -543
Excess energy over the best structure of this formula in the dataset (meV per atom): 5

***

| no. | calculated total energy (eV per atom) |
| --- | --- |
| 1 | -1.765 |
| 2 | -4.812 |